[1]
Here is a geometry-optimized LaTe2PbO8 structure from the Alexandria database. Energies are from PBE.

Results
The space-group type is P-3m1 (164). The total magnetization comes out at 0.000 μB/f.u. The value obtained for the calculated total energy is -5.920 eV/atom. For the density of states at the Fermi level, the calculation gives 3.88 states/eV per cell.

Cell: 6.1563 6.1563 7.4585 Å, 90.00 90.00 120.00°
Positions (direct):
La 0.0000 0.0000 0.0000
Te 0.3333 0.6667 0.2992
Te 0.6667 0.3333 0.7008
Pb 0.0000 0.0000 0.5000
O 0.1625 0.3251 0.2225
O 0.1625 0.8375 0.2225
O 0.3251 0.1625 0.7775
O 0.3333 0.6667 0.5446
O 0.6667 0.3333 0.4554
O 0.6749 0.8375 0.2225
O 0.8375 0.1625 0.7775
O 0.8375 0.6749 0.7775



[2]
Here is a geometry-optimized La2TiPbO6 structure from the Alexandria database. Energies are from PBE.

Results
The space-group type is P4mm (99). The total magnetization comes out at 0.000 μB/f.u. The value obtained for the calculated total energy is -7.846 eV/atom. For the density of states at the Fermi level, the calculation gives 0.00 states/eV per cell.

Cell: 5.5915 5.5915 5.5092 Å, 90.00 90.00 90.00°
Positions (direct):
La 0.0000 0.5000 0.0000
La 0.5000 0.0000 0.0000
Ti 0.0000 0.0000 0.6275
Pb 0.5000 0.5000 0.5524
O 0.0000 0.0000 0.2980
O 0.2272 0.2272 0.7624
O 0.2272 0.7728 0.7624
O 0.5000 0.5000 0.1276
O 0.7728 0.2272 0.7624
O 0.7728 0.7728 0.7624



[3]
Here is a geometry-optimized LaTmPbO2 structure from the Alexandria database. Energies are from PBE.

Results
The space-group type is I4mm (107). The total magnetization comes out at 0.000 μB/f.u. The value obtained for the calculated total energy is -7.153 eV/atom. For the density of states at the Fermi level, the calculation gives 1.66 states/eV per cell.

Cell: 7.7337 7.7337 7.7337 Å, 150.70 150.70 41.91°
Positions (direct):
La 0.0000 0.0000 0.0000
Tm 0.3387 0.3387 0.0000
Pb 0.6718 0.6718 0.0000
O 0.4093 0.9093 0.5000
O 0.9093 0.4093 0.5000



[4]
Here is a geometry-optimized La2Tm4Pb3O2 structure from the Alexandria database. Energies are from PBE.

Results
The space-group type is I4/mmm (139). The total magnetization comes out at 1.109 μB/f.u. The value obtained for the calculated total energy is -5.865 eV/atom. For the density of states at the Fermi level, the calculation gives 6.63 states/eV per cell.

Cell: 13.3585 13.3585 13.3585 Å, 159.88 159.88 28.60°
Positions (direct):
La 0.1952 0.1952 0.0000
La 0.8048 0.8048 0.0000
Tm 0.0813 0.5813 0.5000
Tm 0.4187 0.9187 0.5000
Tm 0.5813 0.0813 0.5000
Tm 0.9187 0.4187 0.5000
Pb 0.3291 0.3291 0.0000
Pb 0.5000 0.5000 0.0000
Pb 0.6709 0.6709 0.0000
O 0.0898 0.0898 0.0000
O 0.9102 0.9102 0.0000



[5]
Here is a geometry-optimized LaTmPb2O8 structure from the Alexandria database. Energies are from PBE.

Results
The space-group type is I-4 (82). The total magnetization comes out at 2.037 μB/f.u. The value obtained for the calculated total energy is -6.457 eV/atom. For the density of states at the Fermi level, the calculation gives 3.52 states/eV per cell.

Cell: 6.7052 6.7052 6.7052 Å, 130.17 130.17 73.14°
Positions (direct):
La 0.0000 0.0000 0.0000
Tm 0.7500 0.2500 0.5000
Pb 0.2500 0.7500 0.5000
Pb 0.5000 0.5000 0.0000
O 0.0917 0.6259 0.0313
O 0.1369 0.2045 0.5458
O 0.3741 0.4055 0.4658
O 0.4089 0.8631 0.0676
O 0.5945 0.0603 0.9687
O 0.6586 0.5911 0.4542
O 0.7955 0.3414 0.9324
O 0.9397 0.9083 0.5342



[6]
Here is a geometry-optimized La2UPbO8 structure from the Alexandria database. Energies are from PBE.

Results
The space-group type is P-1 (2). The total magnetization comes out at 0.000 μB/f.u. The value obtained for the calculated total energy is -8.093 eV/atom.

Cell: 3.9025 5.5825 8.1140 Å, 84.42 89.37 86.31°
Positions (direct):
La 0.0071 0.0161 0.2511
La 0.9929 0.9839 0.7489
U 0.5000 0.5000 0.5000
Pb 0.5000 0.5000 0.0000
O 0.0405 0.7198 0.5194
O 0.0418 0.7423 0.0264
O 0.4681 0.2469 0.6931
O 0.4760 0.2928 0.2452
O 0.5240 0.7072 0.7548
O 0.5319 0.7531 0.3069
O 0.9582 0.2577 0.9736
O 0.9595 0.2802 0.4806



What is the calculated total energy in the fourth record?
-5.865 eV/atom